[1]
This record from Alexandria describes crystalline CeTmAlTc at its relaxed geometry. The functional is PBE.

Lattice parameters (Å, degrees): 4.963 4.963 4.963 60.00 60.00 60.00
Positions (direct):
Ce (0.000, 0.000, 0.000)
Tm (0.500, 0.500, 0.500)
Al (0.250, 0.250, 0.250)
Tc (0.750, 0.750, 0.750)

Output
- SG: F-43m (216)
- V: 86 Å³ per cell
- Crystal system: cubic
- Uncorrected energy: -25.2 eV/f.u.



[2]
This record from Alexandria describes crystalline Ce2AlTe at its relaxed geometry. The functional is PBE.

Lattice parameters (Å, degrees): 3.656 3.656 8.053 90.00 90.00 90.00
Positions (direct):
Ce (0.000, 0.000, 0.248)
Ce (0.000, 0.000, 0.752)
Al (0.500, 0.500, 0.000)
Te (0.500, 0.500, 0.500)

Output
- ΔE_f (raw): -62.67 kJ per mole of atoms
- SG: P4/mmm (123)
- V: 108 Å³ per cell
- Crystal system: tetragonal
- Uncorrected energy: -21.4 eV/f.u.
- Energy above the most stable polymorph in this dataset: 0 meV per atom



[3]
This record from Alexandria describes crystalline CeAlTe2 at its relaxed geometry. The functional is PBE.

Lattice parameters (Å, degrees): 9.669 9.669 9.669 23.94 23.94 23.94
Positions (direct):
Ce (0.000, 0.000, 0.000)
Al (0.500, 0.500, 0.500)
Te (0.111, 0.111, 0.111)
Te (0.889, 0.889, 0.889)

Output
- ΔE_f (raw): -24.53 kJ per mole of atoms
- SG: R-3m (166)
- V: 131 Å³ per cell
- Crystal system: trigonal
- Uncorrected energy: -17.0 eV/f.u.



[4]
This record from Alexandria describes crystalline Ce2AlTe at its relaxed geometry. The functional is PBE.

Lattice parameters (Å, degrees): 8.127 8.127 8.127 30.50 30.50 30.50
Positions (direct):
Ce (0.248, 0.248, 0.248)
Ce (0.752, 0.752, 0.752)
Al (0.500, 0.500, 0.500)
Te (0.000, 0.000, 0.000)

Output
- ΔE_f (raw): -59.79 kJ per mole of atoms
- SG: R-3m (166)
- V: 123 Å³ per cell
- Crystal system: trigonal
- Uncorrected energy: -21.2 eV/f.u.
- Energy above the most stable polymorph in this dataset: 30 meV per atom



[5]
This record from Alexandria describes crystalline Ce2AlTe5 at its relaxed geometry. The functional is PBE.

Lattice parameters (Å, degrees): 8.583 12.899 4.256 90.00 90.00 90.00
Positions (direct):
Ce (0.031, 0.177, 0.000)
Ce (0.469, 0.677, 0.000)
Ce (0.531, 0.323, 0.000)
Ce (0.969, 0.823, 0.000)
Al (0.000, 0.500, 0.500)
Al (0.500, 0.000, 0.500)
Te (0.000, 0.000, 0.500)
Te (0.169, 0.411, 0.000)
Te (0.173, 0.689, 0.500)
Te (0.327, 0.189, 0.500)
Te (0.331, 0.911, 0.000)
Te (0.500, 0.500, 0.500)
Te (0.669, 0.089, 0.000)
Te (0.673, 0.811, 0.500)
Te (0.827, 0.311, 0.500)
Te (0.831, 0.589, 0.000)

Output
- ΔE_f (raw): -97.18 kJ per mole of atoms
- SG: Pbam (55)
- V: 471 Å³ per cell
- Crystal system: orthorhombic
- Uncorrected energy: -39.4 eV/f.u.



[6]
This record from Alexandria describes crystalline Ce2ThAl6 at its relaxed geometry. The functional is PBE.

Lattice parameters (Å, degrees): 7.987 7.987 3.629 90.00 90.00 120.00
Positions (direct):
Ce (0.333, 0.667, 0.000)
Ce (0.667, 0.333, 0.000)
Th (0.000, 0.000, 0.000)
Al (0.000, 0.334, 0.500)
Al (0.000, 0.666, 0.500)
Al (0.334, 0.000, 0.500)
Al (0.334, 0.334, 0.500)
Al (0.666, 0.000, 0.500)
Al (0.666, 0.666, 0.500)

Output
- SG: P6/mmm (191)
- V: 201 Å³ per cell
- Crystal system: hexagonal
- Uncorrected energy: -45.5 eV/f.u.



[7]
This record from Alexandria describes crystalline CeThAl at its relaxed geometry. The functional is PBE.

Lattice parameters (Å, degrees): 6.557 4.932 9.891 90.00 90.00 90.00
Positions (direct):
Ce (0.087, 0.250, 0.213)
Ce (0.413, 0.750, 0.713)
Ce (0.587, 0.250, 0.287)
Ce (0.913, 0.750, 0.787)
Th (0.170, 0.250, 0.568)
Th (0.330, 0.750, 0.068)
Th (0.670, 0.250, 0.932)
Th (0.830, 0.750, 0.432)
Al (0.182, 0.250, 0.887)
Al (0.318, 0.750, 0.387)
Al (0.682, 0.250, 0.613)
Al (0.818, 0.750, 0.113)

Output
- SG: Pnma (62)
- V: 320 Å³ per cell
- Crystal system: orthorhombic
- Uncorrected energy: -17.6 eV/f.u.
- Energy above the most stable polymorph in this dataset: 0 meV per atom



[8]
This record from Alexandria describes crystalline Ce4Th3Al4 at its relaxed geometry. The functional is PBE.

Lattice parameters (Å, degrees): 9.344 9.344 9.344 150.12 132.72 56.94
Positions (direct):
Ce (0.232, 0.232, 0.000)
Ce (0.326, 0.500, 0.826)
Ce (0.674, 0.500, 0.174)
Ce (0.768, 0.768, 0.000)
Th (0.000, 0.000, 0.000)
Th (0.367, 0.867, 0.500)
Th (0.633, 0.133, 0.500)
Al (0.013, 0.338, 0.675)
Al (0.338, 0.662, 0.675)
Al (0.662, 0.338, 0.325)
Al (0.987, 0.662, 0.325)

Output
- SG: Immm (71)
- V: 297 Å³ per cell
- Crystal system: orthorhombic
- Uncorrected energy: -61.0 eV/f.u.



[9]
This record from Alexandria describes crystalline Ce3ThAl8 at its relaxed geometry. The functional is PBE.

Lattice parameters (Å, degrees): 5.632 5.632 9.160 90.00 90.00 120.00
Positions (direct):
Ce (0.000, 0.000, 0.000)
Ce (0.000, 0.000, 0.340)
Ce (0.333, 0.667, 0.852)
Th (0.333, 0.667, 0.494)
Al (0.008, 0.504, 0.171)
Al (0.325, 0.162, 0.672)
Al (0.496, 0.504, 0.171)
Al (0.496, 0.992, 0.171)
Al (0.667, 0.333, 0.420)
Al (0.667, 0.333, 0.922)
Al (0.838, 0.162, 0.672)
Al (0.838, 0.675, 0.672)

Output
- SG: P3m1 (156)
- V: 252 Å³ per cell
- Crystal system: trigonal
- Uncorrected energy: -60.5 eV/f.u.



[10]
This record from Alexandria describes crystalline Ce2ThAl at its relaxed geometry. The functional is PBE.

Lattice parameters (Å, degrees): 4.667 4.667 4.891 90.00 90.00 90.00
Positions (direct):
Ce (0.000, 0.500, 0.000)
Ce (0.500, 0.000, 0.000)
Th (0.000, 0.000, 0.500)
Al (0.500, 0.500, 0.500)

Output
- SG: P4/mmm (123)
- V: 107 Å³ per cell
- Crystal system: tetragonal
- Uncorrected energy: -23.6 eV/f.u.
- Energy above the most stable polymorph in this dataset: 0 meV per atom



[11]
This record from Alexandria describes crystalline CeTh2Al at its relaxed geometry. The functional is PBE.

Lattice parameters (Å, degrees): 4.855 4.503 10.132 90.00 90.00 90.00
Positions (direct):
Ce (0.250, 0.000, 0.124)
Ce (0.750, 0.000, 0.876)
Th (0.250, 0.500, 0.387)
Th (0.250, 0.500, 0.863)
Th (0.750, 0.500, 0.137)
Th (0.750, 0.500, 0.613)
Al (0.250, 0.000, 0.630)
Al (0.750, 0.000, 0.370)

Output
- SG: Pmma (51)
- V: 221 Å³ per cell
- Crystal system: orthorhombic
- Uncorrected energy: -24.8 eV/f.u.
- Energy above the most stable polymorph in this dataset: 46 meV per atom



[12]
This record from Alexandria describes crystalline CeThAl2 at its relaxed geometry. The functional is PBE.

Lattice parameters (Å, degrees): 4.690 4.690 4.417 90.00 90.00 90.00
Positions (direct):
Ce (0.000, 0.000, 0.000)
Th (0.500, 0.500, 0.000)
Al (0.000, 0.500, 0.500)
Al (0.500, 0.000, 0.500)

Output
- SG: P4/mmm (123)
- V: 97 Å³ per cell
- Crystal system: tetragonal
- Uncorrected energy: -21.9 eV/f.u.
- Energy above the most stable polymorph in this dataset: 0 meV per atom